Below is a relaxed Nd3SbO6 crystal, with properties calculated at the PBE level.

Cell lengths 7.461, 7.461, 6.110 Å; angles 90.00, 90.00, 103.00 degrees
Fractional coordinates of all 20 atoms:
Nd1 0.098 0.902 0.500
Nd2 0.198 0.411 0.457
Nd3 0.411 0.198 0.957
Nd4 0.589 0.802 0.457
Nd5 0.802 0.589 0.957
Nd6 0.902 0.098 0.000
Sb1 0.324 0.676 0.924
Sb2 0.676 0.324 0.424
O1 0.083 0.601 0.765
O2 0.148 0.177 0.731
O3 0.177 0.148 0.231
O4 0.279 0.721 0.363
O5 0.399 0.917 0.765
O6 0.467 0.533 0.725
O7 0.533 0.467 0.225
O8 0.601 0.083 0.265
O9 0.721 0.279 0.863
O10 0.823 0.852 0.731
O11 0.852 0.823 0.231
O12 0.917 0.399 0.265

Properties
N(E_F) (states/eV/f.u.): 0.00
Total moment (μB/cell): 0.00
Crystal system: orthorhombic
E_form (uncorrected) (eV/atom): -2.820